# 1
# Hg4PICl2

Crystalline Hg4PICl2 at its relaxed geometry (PBE, Alexandria via LeMat-Bulk).

SG ... C2/c
E_form (uncorrected) ... -122 meV/atom

Lattice parameters (Å, degrees): 9.374 9.374 7.973 115.64 115.64 105.36
Sites, in units of the cell vectors:
1 Cl 0.000 0.000 0.500
2 Hg 0.803 0.160 0.981
3 Cl 0.500 0.500 0.000
4 Cl 0.500 0.000 0.000
5 Hg 0.752 0.744 0.515
6 P 0.000 0.000 0.000
7 P 0.500 0.500 0.500
8 Hg 0.660 0.303 0.481
9 Hg 0.197 0.840 0.019
10 Cl 0.500 0.000 0.500
11 Hg 0.248 0.256 0.485
12 Hg 0.340 0.697 0.519
13 I 0.000 0.500 0.000
14 Hg 0.756 0.748 0.985
15 Hg 0.244 0.252 0.015
16 I 0.000 0.500 0.500

---

# 2
# Th2NiRh

Crystalline Th2NiRh at its relaxed geometry (PBE, Alexandria via LeMat-Bulk).

SG ... P4/mmm
ΔH_f (0 K) ... -0.4859 eV per atom

Lattice parameters (Å, degrees): 3.544 3.544 7.026 90.00 90.00 90.00
Sites, in units of the cell vectors:
1 Th 0.000 0.000 0.756
2 Th 0.000 0.000 0.244
3 Rh 0.500 0.500 0.500
4 Ni 0.500 0.500 0.000

---

# 3
# SmInHg3

Crystalline SmInHg3 at its relaxed geometry (PBE, Alexandria via LeMat-Bulk).

SG ... C2/c
ΔH_f (0 K) ... -0.2175 eV per atom
Excess energy over the best structure of this formula in the dataset ... 90 meV/atom

Lattice parameters (Å, degrees): 8.582 8.582 8.162 110.44 110.44 78.49
Sites, in units of the cell vectors:
1 Sm 0.961 0.039 0.750
2 Hg 0.353 0.322 0.403
3 Sm 0.641 0.359 0.250
4 Sm 0.359 0.641 0.750
5 Hg 0.322 0.353 0.903
6 In 0.568 0.181 0.693
7 In 0.181 0.568 0.193
8 In 0.819 0.432 0.807
9 Hg 0.978 0.291 0.141
10 Hg 0.031 0.323 0.549
11 Hg 0.647 0.678 0.597
12 Hg 0.678 0.647 0.097
13 Hg 0.969 0.677 0.451
14 Hg 0.677 0.969 0.951
15 Hg 0.291 0.978 0.641
16 Hg 0.323 0.031 0.049
17 Hg 0.022 0.709 0.859
18 In 0.432 0.819 0.307
19 Hg 0.709 0.022 0.359
20 Sm 0.039 0.961 0.250

---

# 4
# Dy6YTm3Sc2

Crystalline Dy6YTm3Sc2 at its relaxed geometry (PBE, Alexandria via LeMat-Bulk).

SG ... C2/m
ΔH_f (0 K) ... 0.0376 eV per atom

Lattice parameters (Å, degrees): 6.042 6.042 11.507 95.01 95.01 119.94
Sites, in units of the cell vectors:
1 Y 0.000 0.000 0.000
2 Tm 0.833 0.167 0.500
3 Dy 0.254 0.254 0.753
4 Dy 0.917 0.581 0.754
5 Dy 0.746 0.746 0.247
6 Tm 0.500 0.500 0.500
7 Dy 0.419 0.083 0.246
8 Tm 0.167 0.833 0.500
9 Sc 0.333 0.667 0.000
10 Sc 0.667 0.333 0.000
11 Dy 0.581 0.917 0.754
12 Dy 0.083 0.419 0.246

---

# 5
# In4Ga2Ag

Crystalline In4Ga2Ag at its relaxed geometry (PBE, Alexandria via LeMat-Bulk).

SG ... P1
ΔH_f (0 K) ... 0.0418 eV per atom

Lattice parameters (Å, degrees): 8.108 8.110 7.125 107.79 107.80 118.72
Sites, in units of the cell vectors:
1 Ga 0.711 0.588 0.386
2 In 0.370 0.182 0.851
3 Ga 0.506 0.767 0.191
4 In 0.432 0.119 0.351
5 Ag 0.139 0.711 0.359
6 In 0.622 0.964 0.699
7 In 0.499 0.546 0.733
8 In 0.214 0.372 0.199
9 In 0.190 0.705 0.781
10 Ga 0.018 0.257 0.692
11 Ga 0.838 0.461 0.886
12 In 0.796 0.249 0.233
13 In 0.955 0.939 0.282
14 Ag 0.961 0.889 0.859

---

# 6
# FeReTe2

Crystalline FeReTe2 at its relaxed geometry (PBE, Alexandria via LeMat-Bulk).

SG ... R-3m
E_form (uncorrected) ... 746 meV/atom
Excess energy over the best structure of this formula in the dataset ... 597 meV/atom

Lattice parameters (Å, degrees): 9.039 9.039 9.039 21.41 21.41 21.41
Sites, in units of the cell vectors:
1 Re 0.500 0.500 0.500
2 Fe 0.000 0.000 0.000
3 Te 0.906 0.906 0.906
4 Te 0.094 0.094 0.094

---

# 7
# PIrSe2Br

Crystalline PIrSe2Br at its relaxed geometry (PBE, Alexandria via LeMat-Bulk).

SG ... P4/mmm
E_form (uncorrected) ... 1241 meV/atom
Excess energy over the best structure of this formula in the dataset ... 408 meV/atom

Lattice parameters (Å, degrees): 4.837 4.837 4.760 90.00 90.00 90.00
Sites, in units of the cell vectors:
1 Ir 0.500 0.500 0.500
2 Se 0.000 0.500 0.000
3 P 0.000 0.000 0.000
4 Br 0.000 0.000 0.500
5 Se 0.500 0.000 0.000

---

# 8
# MgAgTe2

Crystalline MgAgTe2 at its relaxed geometry (PBE, Alexandria via LeMat-Bulk).

SG ... P2/m
E_form (uncorrected) ... -202 meV/atom

Lattice parameters (Å, degrees): 4.142 4.377 6.127 73.39 90.00 90.00
Sites, in units of the cell vectors:
1 Te 0.000 0.499 0.500
2 Te 0.000 0.001 0.000
3 Ag 0.500 0.250 0.250
4 Mg 0.500 0.750 0.750